1.
Compound: Li2MgCd2Hg7
Source: the Alexandria database
Functional: PBE
Structure: relaxed

Summary:
Formation energy from the elements, eV/f.u.: -1.1

Geometry as POSCAR:
```
Li2MgCd2Hg7
1.0
-1.687 12.520 3.410
1.687 -12.520 3.410
1.687 12.520 -3.410
Li Mg Cd Hg
2 1 2 7
Direct
0.106 0.000 0.106
0.894 0.000 0.894
0.896 0.396 0.500
0.459 0.643 0.817
0.826 0.643 0.183
0.177 0.808 0.369
0.246 0.246 0.000
0.276 0.057 0.219
0.439 0.808 0.631
0.565 0.629 0.936
0.693 0.629 0.064
0.837 0.057 0.781
```

***

2.
Compound: Li3Mg2Cd2Hg4
Source: the Alexandria database
Functional: PBE
Structure: relaxed

Summary:
Formation energy from the elements, eV/f.u.: -2.4

Geometry as POSCAR:
```
Li3Mg2Cd2Hg4
1.0
4.832 0.000 0.000
-2.416 4.185 0.000
0.000 0.000 11.517
Li Mg Cd Hg
3 2 2 4
Direct
0.000 0.000 0.000
0.000 0.000 0.265
0.000 0.000 0.735
0.333 0.667 0.578
0.667 0.333 0.422
0.333 0.667 0.082
0.667 0.333 0.918
0.333 0.667 0.337
0.333 0.667 0.825
0.667 0.333 0.175
0.667 0.333 0.663
```

***

3.
Compound: LiMgCd2Hg4
Source: the Alexandria database
Functional: PBE
Structure: relaxed

Summary:
Formation energy from the elements, eV/f.u.: -0.6

Geometry as POSCAR:
```
LiMgCd2Hg4
1.0
0.000 5.036 5.950
3.213 0.000 5.950
3.213 5.036 0.000
Li Mg Cd Hg
1 1 2 4
Direct
0.000 0.000 0.000
0.750 0.750 0.750
0.250 0.250 0.250
0.500 0.500 0.500
0.237 0.237 0.763
0.505 0.505 0.995
0.763 0.763 0.237
0.995 0.995 0.505
```

***

4.
Compound: Li5Mg2CdHg2
Source: the Alexandria database
Functional: PBE
Structure: relaxed

Summary:
Formation energy from the elements, eV/f.u.: -2.0

Geometry as POSCAR:
```
Li5Mg2CdHg2
1.0
9.797 0.000 0.000
0.000 9.797 0.000
0.000 0.000 4.170
Li Mg Cd Hg
10 4 2 4
Direct
0.000 0.500 0.000
0.078 0.194 0.000
0.194 0.922 0.000
0.306 0.422 0.000
0.422 0.694 0.000
0.500 0.000 0.000
0.578 0.306 0.000
0.694 0.578 0.000
0.806 0.078 0.000
0.922 0.806 0.000
0.167 0.667 0.500
0.333 0.167 0.500
0.667 0.833 0.500
0.833 0.333 0.500
0.000 0.000 0.500
0.500 0.500 0.500
0.130 0.370 0.500
0.370 0.870 0.500
0.630 0.130 0.500
0.870 0.630 0.500
```

***

5.
Compound: Li2MgCd4Hg2
Source: the Alexandria database
Functional: PBE
Structure: relaxed

Summary:
Formation energy from the elements, eV/f.u.: -1.4

Geometry as POSCAR:
```
Li2MgCd4Hg2
1.0
4.808 0.000 0.000
2.404 5.026 0.000
2.381 0.591 7.746
Li Mg Cd Hg
2 1 4 2
Direct
0.171 0.427 0.233
0.829 0.573 0.767
0.500 0.500 0.500
0.169 0.769 0.893
0.481 0.190 0.847
0.519 0.810 0.153
0.831 0.231 0.107
0.144 0.145 0.566
0.856 0.855 0.434
```

***

6.
Compound: Li2MgCd2Hg2
Source: the Alexandria database
Functional: PBE
Structure: relaxed

Summary:
Formation energy from the elements, eV/f.u.: -1.4

Geometry as POSCAR:
```
Li2MgCd2Hg2
1.0
2.398 1.385 7.142
-2.398 1.385 7.142
0.000 -2.769 7.142
Li Mg Cd Hg
2 1 2 2
Direct
0.141 0.141 0.141
0.859 0.859 0.859
0.000 0.000 0.000
0.277 0.277 0.277
0.723 0.723 0.723
0.430 0.430 0.430
0.570 0.570 0.570
```

***

7.
Compound: LiMg2Cd2Hg4
Source: the Alexandria database
Functional: PBE
Structure: relaxed

Summary:
Formation energy from the elements, eV/f.u.: -1.4

Geometry as POSCAR:
```
LiMg2Cd2Hg4
1.0
7.133 -1.690 0.000
7.133 1.690 0.000
-1.909 0.000 8.162
Li Mg Cd Hg
1 2 2 4
Direct
0.000 0.000 0.000
0.129 0.129 0.588
0.871 0.871 0.412
0.342 0.342 0.049
0.658 0.658 0.951
0.203 0.203 0.280
0.478 0.478 0.696
0.522 0.522 0.304
0.797 0.797 0.720
```

***

8.
Compound: LiMg5Cd2Hg
Source: the Alexandria database
Functional: PBE
Structure: relaxed

Summary:
Formation energy from the elements, eV/f.u.: 0.2

Geometry as POSCAR:
```
LiMg5Cd2Hg
1.0
-4.015 4.015 6.401
4.015 -4.015 6.401
4.015 4.015 -6.401
Li Mg Cd Hg
2 10 4 2
Direct
0.250 0.750 0.500
0.750 0.250 0.500
0.000 0.000 0.000
0.065 0.565 0.906
0.160 0.065 0.500
0.340 0.840 0.906
0.435 0.340 0.500
0.500 0.500 0.000
0.565 0.660 0.500
0.660 0.160 0.094
0.840 0.935 0.500
0.935 0.435 0.094
0.117 0.383 0.500
0.383 0.883 0.267
0.617 0.117 0.733
0.883 0.617 0.500
0.250 0.250 0.000
0.750 0.750 0.000
```

***

9.
Compound: Li2Mg2Cd2Hg
Source: the Alexandria database
Functional: PBE
Structure: relaxed

Summary:
Formation energy from the elements, eV/f.u.: -1.3

Geometry as POSCAR:
```
Li2Mg2Cd2Hg
1.0
2.389 1.380 6.920
-2.389 1.380 6.920
0.000 -2.759 6.920
Li Mg Cd Hg
2 2 2 1
Direct
0.216 0.216 0.216
0.784 0.784 0.784
0.078 0.078 0.078
0.922 0.922 0.922
0.357 0.357 0.357
0.643 0.643 0.643
0.500 0.500 0.500
```

***

10.
Compound: Li3Mg3Cd2Hg
Source: the Alexandria database
Functional: PBE
Structure: relaxed

Summary:
Formation energy from the elements, eV/f.u.: -1.6

Geometry as POSCAR:
```
Li3Mg3Cd2Hg
1.0
8.252 0.000 0.000
-4.126 7.146 0.000
0.000 0.000 3.158
Li Mg Cd Hg
3 3 2 1
Direct
0.000 0.367 0.000
0.367 0.000 0.000
0.633 0.633 0.000
0.000 0.703 0.500
0.297 0.297 0.500
0.703 0.000 0.500
0.333 0.667 0.500
0.667 0.333 0.500
0.000 0.000 0.000
```

***

11.
Compound: Na2LiCd2Hg5
Source: the Alexandria database
Functional: PBE
Structure: relaxed

Summary:
Formation energy from the elements, eV/f.u.: -1.7

Geometry as POSCAR:
```
Na2LiCd2Hg5
1.0
12.038 0.000 0.000
0.000 12.038 0.000
0.000 0.000 3.466
Na Li Cd Hg
4 2 4 10
Direct
0.161 0.339 0.000
0.339 0.839 0.000
0.661 0.161 0.000
0.839 0.661 0.000
0.000 0.000 0.000
0.500 0.500 0.000
0.141 0.641 0.000
0.359 0.141 0.000
0.641 0.859 0.000
0.859 0.359 0.000
0.000 0.500 0.500
0.103 0.843 0.500
0.157 0.103 0.500
0.343 0.603 0.500
0.397 0.343 0.500
0.500 0.000 0.500
0.603 0.657 0.500
0.657 0.397 0.500
0.843 0.897 0.500
0.897 0.157 0.500
```

***

12.
Compound: NaLiCd2Hg
Source: the Alexandria database
Functional: PBE
Structure: relaxed

Summary:
Formation energy from the elements, eV/f.u.: -0.9

Geometry as POSCAR:
```
NaLiCd2Hg
1.0
2.461 -5.424 0.000
2.461 5.424 0.000
0.000 0.000 8.727
Na Li Cd Hg
2 2 4 2
Direct
0.054 0.946 0.750
0.946 0.054 0.250
0.336 0.664 0.750
0.664 0.336 0.250
0.227 0.773 0.085
0.227 0.773 0.415
0.773 0.227 0.585
0.773 0.227 0.915
0.500 0.500 0.000
0.500 0.500 0.500
```

***

13.
Compound: NaLiCdHg2
Source: the Alexandria database
Functional: PBE
Structure: relaxed

Summary:
Formation energy from the elements, eV/f.u.: -0.3

Geometry as POSCAR:
```
NaLiCdHg2
1.0
5.080 0.000 0.000
0.000 5.080 0.000
0.000 0.000 5.094
Na Li Cd Hg
1 1 1 2
Direct
0.000 0.000 0.000
0.500 0.500 0.500
0.500 0.500 0.000
0.000 0.500 0.500
0.500 0.000 0.500
```

***

14.
Compound: NaLi2CdHg4
Source: the Alexandria database
Functional: PBE
Structure: relaxed

Summary:
Formation energy from the elements, eV/f.u.: -1.9

Geometry as POSCAR:
```
NaLi2CdHg4
1.0
2.475 1.429 8.203
-2.475 1.429 8.203
0.000 -2.858 8.203
Na Li Cd Hg
1 2 1 4
Direct
0.000 0.000 0.000
0.246 0.246 0.246
0.754 0.754 0.754
0.500 0.500 0.500
0.124 0.124 0.124
0.375 0.375 0.375
0.625 0.625 0.625
0.876 0.876 0.876
```

***

15.
Compound: LiNdCd2Hg4
Source: the Alexandria database
Functional: PBE
Structure: relaxed

Summary:
Formation energy from the elements, eV/f.u.: -2.3

Geometry as POSCAR:
```
LiNdCd2Hg4
1.0
2.479 1.431 8.687
-2.479 1.431 8.687
0.000 -2.862 8.687
Li Nd Cd Hg
1 1 2 4
Direct
0.000 0.000 0.000
0.500 0.500 0.500
0.252 0.252 0.252
0.748 0.748 0.748
0.115 0.115 0.115
0.368 0.368 0.368
0.632 0.632 0.632
0.885 0.885 0.885
```

***

16.
Compound: LiNdCdHg2
Source: the Alexandria database
Functional: PBE
Structure: relaxed

Summary:
Formation energy from the elements, eV/f.u.: -1.5

Geometry as POSCAR:
```
LiNdCdHg2
1.0
5.510 0.000 0.000
0.000 6.800 0.000
0.000 0.000 6.323
Li Nd Cd Hg
2 2 2 4
Direct
0.000 0.000 0.000
0.500 0.000 0.000
0.250 0.500 0.221
0.750 0.500 0.779
0.250 0.000 0.373
0.750 0.000 0.627
0.250 0.268 0.740
0.250 0.732 0.740
0.750 0.268 0.260
0.750 0.732 0.260
```

***

17.
Compound: Li2NdCd2Hg2
Source: the Alexandria database
Functional: PBE
Structure: relaxed

Summary:
Formation energy from the elements, eV/f.u.: -1.9

Geometry as POSCAR:
```
Li2NdCd2Hg2
1.0
2.466 1.424 7.398
-2.466 1.424 7.398
0.000 -2.848 7.398
Li Nd Cd Hg
2 1 2 2
Direct
0.145 0.145 0.145
0.855 0.855 0.855
0.000 0.000 0.000
0.267 0.267 0.267
0.733 0.733 0.733
0.426 0.426 0.426
0.574 0.574 0.574
```

***

18.
Compound: LiCdNiHg
Source: the Alexandria database
Functional: PBE
Structure: relaxed

Summary:
Formation energy from the elements, eV/f.u.: -0.5

Geometry as POSCAR:
```
LiCdNiHg
1.0
0.000 3.194 3.194
3.194 0.000 3.194
3.194 3.194 0.000
Li Cd Ni Hg
1 1 1 1
Direct
0.000 0.000 0.000
0.250 0.250 0.250
0.500 0.500 0.500
0.750 0.750 0.750
```

***

19.
Compound: Li2CdHgO
Source: the Alexandria database
Functional: PBE
Structure: relaxed

Summary:
Raw formation energy, kJ per mole of atoms: -79.4

Geometry as POSCAR:
```
Li2CdHgO
1.0
4.046 0.000 0.000
0.000 4.046 0.000
0.000 0.000 5.041
Li Cd Hg O
2 1 1 1
Direct
0.000 0.500 0.000
0.500 0.000 0.000
0.000 0.000 0.500
0.500 0.500 0.500
0.000 0.000 0.000
```

***

20.
Compound: LiPaCdHg
Source: the Alexandria database
Functional: PBE
Structure: relaxed

Summary:
Formation energy from the elements, eV/f.u.: 0.4

Geometry as POSCAR:
```
LiPaCdHg
1.0
0.000 3.588 3.588
3.588 0.000 3.588
3.588 3.588 0.000
Li Pa Cd Hg
1 1 1 1
Direct
0.000 0.000 0.000
0.500 0.500 0.500
0.750 0.750 0.750
0.250 0.250 0.250
```

***

21.
Compound: LiCd2Hg5Pb
Source: the Alexandria database
Functional: PBE
Structure: relaxed

Summary:
Formation energy from the elements, eV/f.u.: 0.3

Geometry as POSCAR:
```
LiCd2Hg5Pb
1.0
-2.532 3.134 7.699
2.532 -3.134 7.699
2.532 3.134 -7.699
Li Cd Hg Pb
1 2 5 1
Direct
0.000 0.000 0.000
0.192 0.692 0.500
0.808 0.308 0.500
0.000 0.500 0.500
0.126 0.862 0.264
0.402 0.138 0.264
0.598 0.862 0.736
0.874 0.138 0.736
0.500 0.500 0.000
```

***

22.
Compound: LiCdHg6Pb
Source: the Alexandria database
Functional: PBE
Structure: relaxed

Summary:
Formation energy from the elements, eV/f.u.: -0.2

Geometry as POSCAR:
```
LiCdHg6Pb
1.0
-3.739 4.977 6.321
3.739 -4.977 6.321
3.739 4.977 -6.321
Li Cd Hg Pb
2 2 12 2
Direct
0.000 0.000 0.000
0.500 0.000 0.500
0.500 0.000 0.000
0.500 0.500 0.500
0.105 0.423 0.272
0.105 0.833 0.681
0.268 0.518 0.750
0.315 0.065 0.250
0.348 0.167 0.772
0.348 0.577 0.181
0.652 0.423 0.819
0.652 0.833 0.228
0.685 0.935 0.750
0.732 0.482 0.250
0.895 0.167 0.319
0.895 0.577 0.728
0.055 0.805 0.250
0.945 0.195 0.750
```

***

no.,DOS(E_F) (states/eV/f.u.)
1,3.521
2,2.938
3,2.406
4,3.328
5,2.259
6,2.105
7,2.898
8,3.496
9,1.485
10,4.660
11,3.476
12,1.907
13,2.571
14,1.644
15,3.716
16,2.511
17,3.705
18,1.494
19,0.752
20,5.614
21,3.690
22,3.138